Compound: Ba2TbTc2N6
Source: Alexandria
Functional: PBE
Structure: optimized geometry

Formation energy without anion corrections   -7.314 eV per formula unit
E   -7.86 eV per atom
M_tot   0.00 Bohr magnetons per cell

a b c (Å): 10.818 6.161 7.239
angles (deg): 90.00 123.20 90.00
Space group C2/m (No. 12)
Symmetry-distinct sites (fractional):
Ba  0.216  0.000  0.193
Tb  0.000  0.000  0.500
Tc  0.040  0.500  0.203
N  0.045  0.259  0.771
N  0.237  0.500  0.353

=====

Compound: Ba2TbUN4
Source: Alexandria
Functional: PBE
Structure: optimized geometry

Formation energy without anion corrections   -8.959 eV per formula unit
E   -7.75 eV per atom
M_tot   0.00 Bohr magnetons per cell

a b c (Å): 6.144 3.636 6.757
angles (deg): 90.00 107.73 90.00
Space group P2/m (No. 10)
Symmetry-distinct sites (fractional):
Ba  0.000  0.000  0.000
Ba  0.500  0.500  0.000
Tb  0.000  0.500  0.500
U  0.500  0.000  0.500
N  0.262  0.000  0.675
N  0.295  0.500  0.324

=====

Compound: BaTbVN3
Source: Alexandria
Functional: PBE
Structure: optimized geometry

Formation energy without anion corrections   -5.731 eV per formula unit
E   -7.73 eV per atom
M_tot   0.00 Bohr magnetons per cell

a b c (Å): 13.309 3.861 7.705
angles (deg): 90.00 105.61 90.00
Space group C2/m (No. 12)
Symmetry-distinct sites (fractional):
Ba  0.143  0.000  0.076
Tb  0.156  0.000  0.574
V  0.001  0.500  0.314
N  0.004  0.000  0.323
N  0.144  0.500  0.791
N  0.156  0.500  0.354

=====

Compound: Ba2TbW2N6
Source: Alexandria
Functional: PBE
Structure: optimized geometry

Formation energy without anion corrections   -8.235 eV per formula unit
E   -8.42 eV per atom
M_tot   2.10 Bohr magnetons per cell

a b c (Å): 10.939 6.248 7.288
angles (deg): 90.00 122.61 90.00
Space group C2/m (No. 12)
Symmetry-distinct sites (fractional):
Ba  0.211  0.000  0.183
Tb  0.000  0.000  0.500
W  0.043  0.500  0.215
N  0.047  0.256  0.773
N  0.243  0.500  0.373

=====

Compound: BaTb2WN4
Source: Alexandria
Functional: PBE
Structure: optimized geometry

Formation energy without anion corrections   -8.416 eV per formula unit
E   -8.23 eV per atom
M_tot   1.83 Bohr magnetons per cell

a b c (Å): 3.515 12.532 12.190
angles (deg): 90.00 90.00 90.00
Space group Cmcm (No. 63)
Symmetry-distinct sites (fractional):
Ba  0.000  0.079  0.250
Tb  0.000  0.372  0.037
W  0.000  0.183  0.750
N  0.000  0.000  0.000
N  0.000  0.257  0.614
N  0.000  0.397  0.250

=====

Compound: BaTbZnN2
Source: Alexandria
Functional: PBE
Structure: optimized geometry

Formation energy without anion corrections   -2.695 eV per formula unit
E   -5.43 eV per atom
M_tot   0.00 Bohr magnetons per cell

a b c (Å): 5.973 5.396 6.823
angles (deg): 90.00 90.04 90.00
Space group P2/c (No. 13)
Symmetry-distinct sites (fractional):
Ba  0.000  0.004  0.250
Tb  0.500  0.500  0.250
Zn  0.500  0.000  0.000
N  0.311  0.277  0.000

=====

Compound: BaTcN2
Source: Alexandria
Functional: PBE
Structure: optimized geometry

Formation energy without anion corrections   4.889 eV per formula unit
E   -6.01 eV per atom
M_tot   4.03 Bohr magnetons per cell

a b c (Å): 6.107 6.107 6.107
angles (deg): 90.00 90.00 90.00
Space group Fm-3m (No. 225)
Symmetry-distinct sites (fractional):
Ba  0.000  0.000  0.000
Tc  0.000  0.000  0.500
N  0.250  0.250  0.250

=====

Compound: Ba2TcN3
Source: Alexandria
Functional: PBE
Structure: optimized geometry

Formation energy without anion corrections   -3.038 eV per formula unit
E   -7.04 eV per atom
M_tot   0.00 Bohr magnetons per cell

a b c (Å): 11.536 6.833 7.754
angles (deg): 90.00 119.26 90.00
Space group C2/c (No. 15)
Symmetry-distinct sites (fractional):
Ba  0.165  0.155  0.209
Tc  0.000  0.374  0.750
N  0.000  0.108  0.750
N  0.153  0.495  0.398